CsSrAs: optimized geometry, PBE.

The structure in POSCAR format:
```
CsSrAs
1.0
8.594 0.000 0.000
0.000 5.305 0.000
0.000 0.000 11.807
Cs Sr As
4 4 4
Direct
0.119 0.250 0.098 Cs
0.381 0.750 0.598 Cs
0.619 0.250 0.402 Cs
0.881 0.750 0.902 Cs
0.013 0.750 0.377 Sr
0.487 0.250 0.877 Sr
0.513 0.750 0.123 Sr
0.987 0.250 0.623 Sr
0.191 0.250 0.408 As
0.309 0.750 0.908 As
0.691 0.250 0.092 As
0.809 0.750 0.592 As
```

**Formation enthalpy at 0 K**: -0.616 eV per atom
**Symmetry**: Pnma, No. 62


Sr6Hg2PtN: optimized geometry, PBE.

The structure in POSCAR format:
```
Sr6Hg2PtN
1.0
7.601 0.000 0.000
0.000 7.932 0.000
-7.420 0.000 10.995
Sr Hg Pt N
12 4 2 2
Direct
0.149 0.014 0.234 Sr
0.149 0.486 0.734 Sr
0.221 0.717 0.041 Sr
0.221 0.783 0.541 Sr
0.328 0.185 0.042 Sr
0.328 0.315 0.542 Sr
0.672 0.685 0.458 Sr
0.672 0.815 0.958 Sr
0.779 0.217 0.459 Sr
0.779 0.283 0.959 Sr
0.851 0.514 0.266 Sr
0.851 0.986 0.766 Sr
0.277 0.070 0.751 Hg
0.277 0.430 0.251 Hg
0.723 0.570 0.749 Hg
0.723 0.930 0.249 Hg
0.500 0.000 0.500 Pt
0.500 0.500 0.000 Pt
0.000 0.000 0.000 N
0.000 0.500 0.500 N
```

**Symmetry**: P2_1/c, No. 14
**Raw formation energy**: -545 meV per atom


Respective total DFT energy (no corrections) values: -36.1 -61.0 eV per cell.